V2SnHgBi: optimized geometry, GGA-PBE.

Lattice parameters (Å, degrees): 5.2964 5.2964 5.9506 90.00 90.00 90.00
Positions (direct):
V: 0.0000 0.5000 0.0000
V: 0.5000 0.0000 0.0000
Sn: 0.0000 0.0000 0.5000
Hg: 0.5000 0.5000 0.5000
Bi: 0.0000 0.0000 0.0000

Summary:
* volume: 166.9 Å³/cell
* E_form: 1.2435 eV/atom
* Fermi-level density of states: 7.55 states/eV/cell
* E_tot: -20.2 eV/cell
* SG: P4/mmm, No. 123